[1]
VASP calculation (GGA-PBE) on a relaxed La7Cr crystal.

Summary:
energy of formation from the pure elements	0.1843	eV per atom
E	-42.641	eV per cell

Geometry as extended XYZ:
```
8
Lattice="0.000 5.134 5.134 5.134 0.000 5.134 5.134 5.134 0.000" Properties=species:S:1:pos:R:3 pbc="T T T"
La 0.000 0.000 0.000
La 2.567 2.567 0.000
La 2.567 0.000 2.567
La 5.134 2.567 2.567
La 0.000 2.567 2.567
La 2.567 5.134 2.567
La 2.567 2.567 5.134
Cr 5.134 5.134 5.134
```

***

[2]
VASP calculation (GGA-PBE) on a relaxed Mn5Ge2 crystal.

Summary:
energy of formation from the pure elements	-0.0029	eV per atom
E	-110.206	eV per cell

Geometry as extended XYZ:
```
14
Lattice="-3.047 5.616 2.591 3.047 -5.616 2.591 3.047 5.616 -2.591" Properties=species:S:1:pos:R:3 pbc="T T T"
Mn 3.047 3.064 -1.295
Mn 4.230 1.200 0.000
Mn 0.000 0.000 1.295
Mn 1.182 4.415 0.000
Mn 0.000 2.551 1.295
Mn 3.047 3.064 1.295
Mn 1.865 1.200 2.591
Mn 0.000 0.000 3.886
Mn -1.182 4.415 2.591
Mn 0.000 2.551 3.886
Ge 1.739 1.345 0.000
Ge 1.739 -1.345 2.591
Ge 1.308 6.961 0.000
Ge 1.308 4.271 2.591
```

***

[3]
VASP calculation (GGA-PBE) on a relaxed AgSbMoI2 crystal.

Summary:
offset from the most stable computed form	0.000	eV per atom
E	-17.685	eV per cell
E_form (uncorrected)	644	meV/atom

Geometry as extended XYZ:
```
5
Lattice="5.658 0.000 0.000 0.000 5.658 0.000 0.000 0.000 5.253" Properties=species:S:1:pos:R:3 pbc="T T T"
Ag 0.000 0.000 0.000
Sb 2.829 2.829 0.000
Mo 2.829 2.829 2.627
I 0.000 2.829 2.627
I 2.829 0.000 2.627
```